Entry from the Alexandria database: crystalline BeP2 at its relaxed geometry (GGA-PBE).

a b c (Å): 5.3658 5.3658 7.1367
angles (deg): 71.44 71.44 27.30
Fractional coordinates of all 6 atoms:
Be: 0.3949 0.3949 0.8575
Be: 0.6051 0.6051 0.1425
P: 0.9362 0.9362 0.3505
P: 0.1864 0.1864 0.8559
P: 0.8136 0.8136 0.1441
P: 0.0638 0.0638 0.6495

## Properties
Fermi-level density of states ... 0.57 states/eV/f.u.
Space-group type ... No. 12
Formation enthalpy at 0 K ... 0.085 eV/atom